Entry 1:
A crystal of BaPPbCl2 relaxed with PBEsol. Source: Alexandria via LeMat-Bulk, functional meta-GGA SCAN.

```
5
Lattice="-1.716 3.167 4.297 -4.839 -2.827 0.151 2.350 -3.821 3.755" Properties=species:S:1:pos:R:3 pbc="T T T"
Pb -2.103 -1.741 4.102
P 1.175 -1.911 1.878
Ba 0.000 0.000 0.000
Cl -2.420 -1.414 0.076
Cl -0.858 1.583 2.148
```

Calculated values
Energy relative to the elements, uncorrected ... -0.535 eV/atom

***

Entry 2:
A crystal of BaScPCl2 relaxed with PBEsol. Source: Alexandria via LeMat-Bulk, functional meta-GGA SCAN.

```
5
Lattice="4.962 0.000 0.000 0.000 4.962 0.000 0.000 0.000 5.117" Properties=species:S:1:pos:R:3 pbc="T T T"
Sc 0.000 0.000 0.000
P 0.000 0.000 2.559
Ba 2.481 2.481 2.559
Cl 0.000 2.481 0.000
Cl 2.481 0.000 0.000
```

Calculated values
Energy relative to the elements, uncorrected ... -1.934 eV/atom

***

Entry 3:
A crystal of BaTcPCl2 relaxed with PBEsol. Source: Alexandria via LeMat-Bulk, functional meta-GGA SCAN.

```
5
Lattice="-3.652 3.856 -1.982 -3.596 -1.247 4.201 2.692 4.405 3.611" Properties=species:S:1:pos:R:3 pbc="T T T"
P 1.346 2.202 1.806
Cl -1.798 -0.623 2.101
Cl -1.826 1.928 -0.991
Ba 0.000 0.000 0.000
Tc -2.278 3.507 2.915
```

Calculated values
Energy relative to the elements, uncorrected ... 0.239 eV/atom

***

Entry 4:
A crystal of BaZnPCl2 relaxed with PBEsol. Source: Alexandria via LeMat-Bulk, functional meta-GGA SCAN.

```
5
Lattice="4.705 0.000 0.000 0.000 5.042 0.000 0.000 0.000 5.042" Properties=species:S:1:pos:R:3 pbc="T T T"
P 2.352 0.000 0.000
Zn 0.000 0.000 0.000
Ba 2.352 2.521 2.521
Cl 0.000 0.000 2.521
Cl 0.000 2.521 0.000
```

Calculated values
Energy relative to the elements, uncorrected ... -1.187 eV/atom

***

Entry 5:
A crystal of BaPb2Cl relaxed with PBEsol. Source: Alexandria via LeMat-Bulk, functional meta-GGA SCAN.

```
4
Lattice="-0.561 -3.564 -0.510 5.154 -1.202 2.730 -5.566 0.285 4.138" Properties=species:S:1:pos:R:3 pbc="T T T"
Pb -2.783 0.142 2.069
Pb -0.206 -0.459 3.434
Ba -0.281 -1.782 -0.255
Cl 2.296 -2.383 1.110
```

Calculated values
Energy relative to the elements, uncorrected ... -0.713 eV/atom

***

Entry 6:
A crystal of BaPbCl2 relaxed with PBEsol. Source: Alexandria via LeMat-Bulk, functional meta-GGA SCAN.

```
4
Lattice="-2.456 0.873 2.893 -3.489 0.424 -3.091 1.567 -6.977 0.816" Properties=species:S:1:pos:R:3 pbc="T T T"
Pb -3.010 0.473 -0.078
Ba -2.533 -3.329 -1.146
Cl -4.289 -5.288 0.576
Cl -1.897 -2.568 1.785
```

Calculated values
Energy relative to the elements, uncorrected ... -1.517 eV/atom

***

Entry 7:
A crystal of BaPb2Cl relaxed with PBEsol. Source: Alexandria via LeMat-Bulk, functional meta-GGA SCAN.

```
4
Lattice="4.384 0.000 0.000 0.000 4.384 0.000 -2.192 -2.192 6.777" Properties=species:S:1:pos:R:3 pbc="T T T"
Pb 2.192 0.000 3.388
Pb 0.000 2.192 3.388
Ba 0.000 0.000 0.000
Cl 2.192 2.192 0.000
```

Calculated values
Energy relative to the elements, uncorrected ... -1.071 eV/atom

***

Entry 8:
A crystal of BaTa2PbCl relaxed with PBEsol. Source: Alexandria via LeMat-Bulk, functional meta-GGA SCAN.

```
5
Lattice="-3.246 -4.231 -1.261 1.609 0.271 -5.048 3.960 -3.360 1.082" Properties=species:S:1:pos:R:3 pbc="T T T"
Pb 1.162 -3.661 -2.614
Cl -1.623 -2.116 -0.631
Ba 0.000 0.000 0.000
Ta 1.980 -1.680 0.541
Ta 0.804 0.135 -2.524
```

Calculated values
Energy relative to the elements, uncorrected ... 2.203 eV/atom

***

Entry 9:
A crystal of Ba2PdCl relaxed with PBEsol. Source: Alexandria via LeMat-Bulk, functional meta-GGA SCAN.

```
4
Lattice="5.474 0.000 0.000 2.737 4.740 0.000 2.737 1.580 4.469" Properties=species:S:1:pos:R:3 pbc="T T T"
Ba 2.737 1.580 1.117
Ba 8.211 4.740 3.352
Pd 5.474 3.160 2.235
Cl 0.000 0.000 0.000
```

Calculated values
Energy relative to the elements, uncorrected ... -1.175 eV/atom

***

Entry 10:
A crystal of BaPdCl4 relaxed with PBEsol. Source: Alexandria via LeMat-Bulk, functional meta-GGA SCAN.

```
24
Lattice="6.828 0.000 0.000 0.000 7.494 0.000 0.000 0.000 12.402" Properties=species:S:1:pos:R:3 pbc="T T T"
Ba 3.414 1.873 1.827
Ba 0.000 5.620 4.374
Ba 3.414 5.620 10.575
Ba 0.000 1.873 8.028
Pd 0.000 3.747 0.000
Pd 3.414 3.747 6.201
Pd 3.414 0.000 6.201
Pd 0.000 0.000 0.000
Cl 0.760 3.970 10.253
Cl 4.174 3.523 8.350
Cl 2.653 0.223 8.350
Cl 6.067 7.270 10.253
Cl 6.067 3.523 2.149
Cl 2.653 3.970 4.052
Cl 4.174 7.270 4.052
Cl 0.760 0.223 2.149
Cl 1.411 0.769 5.401
Cl 4.825 6.725 0.800
Cl 2.003 4.516 0.800
Cl 5.417 2.978 5.401
Cl 5.417 6.725 7.001
Cl 2.003 0.769 11.602
Cl 4.825 2.978 11.602
Cl 1.411 4.516 7.001
```

Calculated values
Energy relative to the elements, uncorrected ... -1.715 eV/atom

***

Entry 11:
A crystal of Ba3PdCl relaxed with PBEsol. Source: Alexandria via LeMat-Bulk, functional meta-GGA SCAN.

```
5
Lattice="6.128 0.000 0.000 0.000 6.128 0.000 0.000 0.000 6.128" Properties=species:S:1:pos:R:3 pbc="T T T"
Ba 0.000 3.064 0.000
Ba 0.000 0.000 3.064
Ba 3.064 0.000 0.000
Pd 0.000 0.000 0.000
Cl 3.064 3.064 3.064
```

Calculated values
Energy relative to the elements, uncorrected ... -0.658 eV/atom

***

Entry 12:
A crystal of Ba2Pd2Cl relaxed with PBEsol. Source: Alexandria via LeMat-Bulk, functional meta-GGA SCAN.

```
5
Lattice="5.915 0.000 0.000 -2.957 4.974 0.113 0.000 3.407 4.835" Properties=species:S:1:pos:R:3 pbc="T T T"
Ba 2.957 5.042 3.682
Ba 0.000 3.339 1.265
Pd 2.957 2.740 1.687
Pd 0.000 5.641 3.261
Cl 0.000 0.000 0.000
```

Calculated values
Energy relative to the elements, uncorrected ... -0.826 eV/atom

***

- Number 6 is which compound?
  BaPbCl2